1.
Compound: MnCo2Re
Source: Alexandria
Functional: GGA-PBEsol
Structure: relaxed

Cell lengths 5.009, 7.147, 2.542 Å; angles 90.00, 90.00, 90.00 degrees
Space group Cmmm (No. 65)
One atom of each set of equivalent atoms:
Mn: 0.000 0.000 0.000 [2 per cell]
Co: 0.250 0.250 0.500 [4 per cell]
Re: 0.000 0.500 0.000 [2 per cell]

Results
- Final energy: -9.603 eV per atom
- ΔH_f (0 K): 3.8 kJ per mole of atoms
- Calculated volume: 91.0 Å³/cell
- ΔE to the lowest computed polymorph: 46.9 meV/atom

=====

2.
Compound: BaMoAs4
Source: Alexandria
Functional: GGA-PBEsol
Structure: relaxed

Cell lengths 8.088, 8.088, 8.088 Å; angles 90.00, 90.00, 90.00 degrees
Space group F-43m (No. 216)
One atom of each set of equivalent atoms:
Ba: 0.000 0.000 0.000 [4 per cell]
Mo: 0.250 0.250 0.750 [4 per cell]
As: 0.122 0.122 0.378 [16 per cell]

Results
- Final energy: -5.319 eV per atom
- ΔH_f (0 K): 39.0 kJ per mole of atoms
- Calculated volume: 529.1 Å³/cell

=====

3.
Compound: LaTlHg2N
Source: Alexandria
Functional: GGA-PBEsol
Structure: relaxed

Cell lengths 5.586, 5.586, 4.171 Å; angles 90.00, 90.00, 90.00 degrees
Space group P4/mmm (No. 123)
One atom of each set of equivalent atoms:
La: 0.000 0.000 0.000 [1 per cell]
Tl: 0.500 0.500 0.500 [1 per cell]
Hg: 0.000 0.500 0.500 [2 per cell]
N: 0.500 0.500 0.000 [1 per cell]

Results
- Final energy: -2.942 eV per atom
- Raw formation energy: 0.59 eV per atom
- Calculated volume: 130.1 Å³/cell

=====

4.
Compound: NaOsS2
Source: Alexandria
Functional: GGA-PBEsol
Structure: relaxed

Cell lengths 7.061, 7.061, 6.715 Å; angles 90.00, 90.00, 90.00 degrees
Space group I-42d (No. 122)
One atom of each set of equivalent atoms:
Na: 0.000 0.000 0.000 [4 per cell]
Os: 0.000 0.000 0.500 [4 per cell]
S: 0.149 0.750 0.625 [8 per cell]

Results
- Final energy: -5.905 eV per atom
- Raw formation energy: -0.31 eV per atom
- Calculated volume: 334.8 Å³/cell

=====

5.
Compound: MnCr4
Source: Alexandria
Functional: GGA-PBEsol
Structure: relaxed

Cell lengths 6.256, 6.256, 2.795 Å; angles 90.00, 90.00, 90.00 degrees
Space group I4/m (No. 87)
One atom of each set of equivalent atoms:
Mn: 0.000 0.000 0.000 [2 per cell]
Cr: 0.103 0.301 0.500 [8 per cell]

Results
- Final energy: -10.119 eV per atom
- ΔH_f (0 K): 2.6 kJ per mole of atoms
- Calculated volume: 109.4 Å³/cell

=====

6.
Compound: Be2TeIr
Source: Alexandria
Functional: GGA-PBEsol
Structure: relaxed

Cell lengths 3.0225, 3.0225, 22.1049 Å; angles 90.00, 90.00, 120.00 degrees
Space group R-3m (No. 166, hexagonal axes)
One atom of each set of equivalent atoms:
Be: 0.0000 0.0000 0.2366 [6 per cell]
Te: 0.0000 0.0000 0.0000 [3 per cell]
Ir: 0.0000 0.0000 0.5000 [3 per cell]

Results
- Final energy: -5.036 eV per atom
- Raw formation energy: 0.30 eV per atom
- Calculated volume: 174.9 Å³/cell

=====

7.
Compound: CsSn2HgB
Source: Alexandria
Functional: GGA-PBEsol
Structure: relaxed

Cell lengths 4.748, 4.748, 6.642 Å; angles 90.00, 90.00, 90.00 degrees
Space group P4/mmm (No. 123)
One atom of each set of equivalent atoms:
Cs: 0.000 0.000 0.000 [1 per cell]
Sn: 0.000 0.500 0.500 [2 per cell]
Hg: 0.500 0.500 0.000 [1 per cell]
B: 0.000 0.000 0.500 [1 per cell]

Results
- Final energy: -2.871 eV per atom
- ΔH_f (0 K): 51.9 kJ per mole of atoms
- Calculated volume: 149.8 Å³/cell

=====

8.
Compound: Sb2TeAu
Source: Alexandria
Functional: GGA-PBEsol
Structure: relaxed

Cell lengths 4.1245, 4.1245, 21.0574 Å; angles 90.00, 90.00, 120.00 degrees
Space group R-3m (No. 166, hexagonal axes)
One atom of each set of equivalent atoms:
Sb: 0.0000 0.0000 0.2366 [6 per cell]
Te: 0.0000 0.0000 0.0000 [3 per cell]
Au: 0.0000 0.0000 0.5000 [3 per cell]

Results
- Final energy: -4.220 eV per atom
- Raw formation energy: -0.08 eV per atom
- Calculated volume: 310.2 Å³/cell